# 1
## Li2Ho2ErSn2 (PBE)

Data for an optimized crystal structure of Li2Ho2ErSn2.

Cell: 4.761 4.761 9.166 Å, 74.95 74.95 60.00°
Positions (direct):
Ho 0.871 0.871 0.386
Ho 0.129 0.129 0.614
Li 0.599 0.599 0.202
Li 0.401 0.401 0.798
Er 0.000 0.000 0.000
Sn 0.264 0.264 0.208
Sn 0.736 0.736 0.792

Computed properties:
DOS at the Fermi energy	4.27	states/eV per cell
energy of formation	-429	meV per atom

---

# 2
## AgB2Ir2 (PBE)

Data for an optimized crystal structure of AgB2Ir2.

Cell: 2.941 2.941 7.442 Å, 78.60 78.60 90.00°
Positions (direct):
Ag 0.000 0.000 0.000
Ir 0.642 0.642 0.715
Ir 0.358 0.358 0.285
B 0.750 0.250 0.500
B 0.250 0.750 0.500

Computed properties:
DOS at the Fermi energy	1.35	states/eV per cell
E above lowest polymorph	0	meV/atom
energy of formation	-75	meV per atom

---

# 3
## TeRuW2 (PBE)

Data for an optimized crystal structure of TeRuW2.

Cell: 3.000 4.209 5.371 Å, 90.00 90.00 90.00°
Positions (direct):
Te 0.500 0.500 0.750
W 0.000 0.000 0.486
W 0.000 0.000 0.014
Ru 0.500 0.500 0.250

Computed properties:
DOS at the Fermi energy	2.95	states/eV per cell
E_form (uncorrected)	0.614	eV per atom

---

# 4
## SrInNF2 (PBE)

Data for an optimized crystal structure of SrInNF2.

Cell: 4.664 4.664 5.195 Å, 90.00 90.00 90.00°
Last column: magnetic moment on the atom in μB.
Positions (direct):
F 0.000 0.500 0.000  0.01
F 0.500 0.000 0.000  0.01
In 0.500 0.500 0.500  0.04
Sr 0.000 0.000 0.000  0.02
N 0.000 0.000 0.500  1.27

Computed properties:
DOS at the Fermi energy	1.91	states/eV per cell
E above lowest polymorph	416	meV/atom
E_form (uncorrected)	-1.263	eV per atom

---

# 5
## Ce2TcHg (PBE)

Data for an optimized crystal structure of Ce2TcHg.

Cell: 3.368 3.368 8.382 Å, 90.00 90.00 90.00°
Positions (direct):
Tc 0.500 0.500 0.000
Hg 0.500 0.500 0.500
Ce 0.000 0.000 0.208
Ce 0.000 0.000 0.792

Computed properties:
DOS at the Fermi energy	7.29	states/eV per cell
energy of formation	-204	meV per atom

---

# 6
## TaTe4I (PBE)

Data for an optimized crystal structure of TaTe4I.

Cell: 6.772 8.234 9.128 Å, 115.25 101.45 101.15°
Positions (direct):
Ta 0.750 0.000 0.000
Ta 0.250 0.000 0.000
Te 0.541 0.246 0.935
Te 0.386 0.850 0.704
Te 0.877 0.675 0.822
Te 0.021 0.876 0.187
Te 0.459 0.754 0.065
Te 0.614 0.150 0.296
Te 0.979 0.124 0.813
Te 0.123 0.325 0.178
I 0.756 0.601 0.435
I 0.244 0.399 0.565

Computed properties:
E above lowest polymorph	0	meV/atom
E_form (uncorrected)	-0.279	eV per atom

---

# 7
## Cs2SmGaBr6 (PBE)

Data for an optimized crystal structure of Cs2SmGaBr6.

Cell: 8.355 8.354 8.356 Å, 60.00 60.00 90.00°
Positions (direct):
Br 0.242 0.242 0.000
Br 0.242 0.242 0.516
Br 0.758 0.758 0.484
Br 0.758 0.242 0.000
Br 0.758 0.758 0.000
Br 0.242 0.758 0.000
Sm 0.000 0.000 0.000
Ga 0.500 0.500 0.000
Cs 0.250 0.750 0.500
Cs 0.750 0.250 0.500

Computed properties:
DOS at the Fermi energy	0.00	states/eV per cell
E_form (uncorrected)	-1.613	eV per atom

---

# 8
## In2GaSe (PBE)

Data for an optimized crystal structure of In2GaSe.

Cell: 6.463 6.463 7.632 Å, 64.95 64.95 90.00°
Positions (direct):
Se 0.750 0.250 0.500
Se 0.000 0.000 0.000
In 0.135 0.625 0.250
In 0.875 0.865 0.750
In 0.615 0.125 0.250
In 0.375 0.385 0.750
Ga 0.250 0.750 0.500
Ga 0.500 0.500 0.000

Computed properties:
DOS at the Fermi energy	4.60	states/eV per cell
E above lowest polymorph	29	meV/atom
E_form (uncorrected)	-0.120	eV per atom

---

# 9
## HgTe2Rh (PBE)

Data for an optimized crystal structure of HgTe2Rh.

Cell: 3.974 3.974 8.035 Å, 75.99 75.99 60.03°
Positions (direct):
Rh 0.750 0.750 0.750
Te 0.475 0.475 0.571
Te 0.025 0.025 0.929
Hg 0.250 0.250 0.250

Computed properties:
DOS at the Fermi energy	1.26	states/eV per cell
E above lowest polymorph	0	meV/atom
E_form (uncorrected)	-0.273	eV per atom

---

# 10
## Rb3ReO4 (PBE)

Data for an optimized crystal structure of Rb3ReO4.

Cell: 7.305 7.305 7.305 Å, 68.65 133.00 133.00°
Last column: magnetic moment on the atom in μB.
Positions (direct):
O 0.000 0.075 0.728  0.09
O 0.347 0.272 0.272  0.09
O 0.653 0.925 0.925  0.09
O 0.000 0.728 0.075  0.09
Re 0.000 0.000 0.000  1.12
Rb 0.000 0.500 0.500  0.00
Rb 0.500 0.250 0.750  0.01
Rb 0.500 0.750 0.250  0.01

Computed properties:
DOS at the Fermi energy	4.43	states/eV per cell
E_form (uncorrected)	-1.472	eV per atom

---

# 11
## KTiMnHg2 (PBE)

Data for an optimized crystal structure of KTiMnHg2.

Cell: 5.543 4.574 5.543 Å, 90.00 90.00 90.00°
Last column: magnetic moment on the atom in μB.
Positions (direct):
Hg 0.000 0.000 0.500  -0.06
Hg 0.500 0.000 0.000  -0.09
Mn 0.000 0.500 0.000  3.16
Ti 0.000 0.000 0.000  -1.32
K 0.500 0.500 0.500  -0.01

Computed properties:
DOS at the Fermi energy	4.38	states/eV per cell
energy of formation	412	meV per atom

---

# 12
## NaYInPb (PBE)

Data for an optimized crystal structure of NaYInPb.

Cell: 5.378 5.378 5.378 Å, 60.00 60.00 60.00°
Positions (direct):
Pb 0.500 0.500 0.500
Na 0.250 0.250 0.250
Y 0.750 0.750 0.750
In 0.000 0.000 0.000

Computed properties:
DOS at the Fermi energy	2.15	states/eV per cell
E above lowest polymorph	59	meV/atom
energy of formation	-259	meV per atom

---

no.,size of the total moment (μB/atom),volume (Å³ per cell),final energy (eV per atom)
1,0.0000,171.7,-4.08
2,0.0000,61.8,-6.86
3,0.0000,67.8,-8.97
4,0.4000,113.0,-4.56
5,0.0005,95.1,-5.84
6,0.0000,428.4,-4.61
7,0.0000,412.4,-3.56
8,0.0000,255.3,-3.12
9,0.0000,105.5,-3.76
10,0.2241,204.7,-5.87
11,0.2716,140.5,-3.34
12,0.0000,110.0,-3.82